Density functional theory data (PBE) for crystalline CdRe2Se at its relaxed geometry.

Geometry as POSCAR:
```
CdRe2Se
1.0
4.633 -0.006 -0.007
3.694 2.796 -0.007
0.906 0.303 5.209
Cd Re Se
1 2 1
Direct
0.750 0.750 0.750
0.996 0.996 0.037
0.504 0.504 0.463
0.250 0.250 0.250
```

The value obtained for the total energy is -6.5390 eV/atom. The value obtained for the uncorrected formation energy is 0.785 eV per atom. As for the density of states at the Fermi level: 4.13 states/eV/cell. The space group is C2/m, No. 12.